{
  "formula": "NaSrCa2",
  "functional": "GGA-PBE",
  "state": "relaxed",
  "dft_energy_ev_per_cell": -13.7,
  "n_ef_per_ev_atom": 0.744,
  "crystal_system": "monoclinic",
  "total_magnetization_mub_per_cell": 0.00,
  "ef_mev_per_atom": 34,
  "vol_a3_per_atom": 43.63,
  "polymorph_energy_mev_per_atom": 0,
  "space_group": "C2/m (12)",
  "lattice_angstrom": [[14.330, 0.000, 0.000], [0.000, 4.244, 0.000], [-2.765, 0.000, 5.739]],
  "species": ["Na", "Na", "Sr", "Sr", "Ca", "Ca", "Ca", "Ca"],
  "fractional_positions": [[0.000, 0.000, 0.000], [0.500, 0.500, 0.000], [0.000, 0.500, 0.500], [0.500, 0.000, 0.500], [0.231, 0.500, 0.231], [0.269, 0.000, 0.769], [0.731, 0.000, 0.231], [0.769, 0.500, 0.769]]
}